The following is a PBE with a Hubbard U calculation of ZnCr2CF after structural relaxation, from Alexandria.

Calculated values
**Volume**: 18.01 A^3/atom
**Energy**: -0.175 Ha/atom

Cell lengths 5.0414, 5.0414, 3.5432 Å; angles 90.00, 90.00, 90.00 degrees
With the nearest neighbours (Å) after each atom.
Space group P4/mmm (No. 123)
One atom of each set of equivalent atoms:
1 Zn 0.0000 0.0000 0.0000 [1 per cell]  2 C 1.77
2 Cr 0.0000 0.5000 0.0000 [2 per cell]  2 Zn 2.52
3 C 0.0000 0.0000 0.5000 [1 per cell]  2 Zn 1.77
4 F 0.5000 0.5000 0.5000 [1 per cell]  8 Cr 3.08